## a
## Y2Cu2Rh (PBE)

Data for a relaxed Y2Cu2Rh crystal. Values from VASP.

Quantum ESPRESSO input file:
```
&SYSTEM
  ibrav = 0, nat = 10, ntyp = 3
/
ATOMIC_SPECIES
Y 88.91 Y.upf
Cu 63.55 Cu.upf
Rh 102.91 Rh.upf
CELL_PARAMETERS angstrom
5.016 -2.007 0.000
5.016 2.007 0.000
-4.277 0.000 9.959
ATOMIC_POSITIONS crystal
Y 0.014 0.014 0.340
Y 0.195 0.195 0.121
Y 0.805 0.805 0.879
Y 0.986 0.986 0.660
Cu 0.359 0.359 0.451
Cu 0.477 0.477 0.106
Cu 0.523 0.523 0.894
Cu 0.641 0.641 0.549
Rh 0.288 0.288 0.679
Rh 0.712 0.712 0.321
```

Output
Crystal system: monoclinic
DOS at the Fermi energy: 0.618 states/eV/atom

=====

## b
## Y2Cu2Rh (PBE)

Data for a relaxed Y2Cu2Rh crystal. Values from VASP.

Quantum ESPRESSO input file:
```
&SYSTEM
  ibrav = 0, nat = 10, ntyp = 3
/
ATOMIC_SPECIES
Y 88.91 Y.upf
Cu 63.55 Cu.upf
Rh 102.91 Rh.upf
CELL_PARAMETERS angstrom
7.041 0.000 0.000
0.000 7.041 0.000
0.000 0.000 3.911
ATOMIC_POSITIONS crystal
Y 0.185 0.315 0.000
Y 0.315 0.815 0.000
Y 0.685 0.185 0.000
Y 0.815 0.685 0.000
Cu 0.120 0.620 0.500
Cu 0.380 0.120 0.500
Cu 0.620 0.880 0.500
Cu 0.880 0.380 0.500
Rh 0.000 0.000 0.500
Rh 0.500 0.500 0.500
```

Output
Crystal system: tetragonal
DOS at the Fermi energy: 0.695 states/eV/atom

=====

Result of the stability comparison: b is the least stable of them.

=====

## a
## Y2Cu2Rh (PBE)

Data for a relaxed Y2Cu2Rh crystal. Values from VASP.

Quantum ESPRESSO input file:
```
&SYSTEM
  ibrav = 0, nat = 5, ntyp = 3
/
ATOMIC_SPECIES
Y 88.91 Y.upf
Cu 63.55 Cu.upf
Rh 102.91 Rh.upf
CELL_PARAMETERS angstrom
-1.720 1.720 8.420
1.720 -1.720 8.420
1.720 1.720 -8.420
ATOMIC_POSITIONS crystal
Y 0.101 0.101 0.000
Y 0.899 0.899 0.000
Cu 0.250 0.750 0.500
Cu 0.750 0.250 0.500
Rh 0.500 0.500 0.000
```

Output
Crystal system: tetragonal
DOS at the Fermi energy: 1.157 states/eV/atom

=====

## b
## Y2Cu2Rh (PBE)

Data for a relaxed Y2Cu2Rh crystal. Values from VASP.

Quantum ESPRESSO input file:
```
&SYSTEM
  ibrav = 0, nat = 10, ntyp = 3
/
ATOMIC_SPECIES
Y 88.91 Y.upf
Cu 63.55 Cu.upf
Rh 102.91 Rh.upf
CELL_PARAMETERS angstrom
4.325 -2.802 0.000
4.325 2.802 0.000
-2.316 0.000 7.902
ATOMIC_POSITIONS crystal
Y 0.029 0.285 0.152
Y 0.285 0.029 0.652
Y 0.715 0.971 0.348
Y 0.971 0.715 0.848
Cu 0.248 0.494 0.501
Cu 0.494 0.248 0.001
Cu 0.506 0.752 0.999
Cu 0.752 0.506 0.499
Rh 0.310 0.690 0.250
Rh 0.690 0.310 0.750
```

Output
Crystal system: monoclinic
DOS at the Fermi energy: 0.623 states/eV/atom

=====

## c
## Y2Cu2Rh (PBE)

Data for a relaxed Y2Cu2Rh crystal. Values from VASP.

Quantum ESPRESSO input file:
```
&SYSTEM
  ibrav = 0, nat = 5, ntyp = 3
/
ATOMIC_SPECIES
Y 88.91 Y.upf
Cu 63.55 Cu.upf
Rh 102.91 Rh.upf
CELL_PARAMETERS angstrom
-2.656 2.656 3.677
2.656 -2.656 3.677
2.656 2.656 -3.677
ATOMIC_POSITIONS crystal
Y 0.250 0.750 0.500
Y 0.750 0.250 0.500
Cu 0.152 0.152 0.000
Cu 0.848 0.848 0.000
Rh 0.500 0.500 0.000
```

Output
Crystal system: tetragonal
DOS at the Fermi energy: 0.730 states/eV/atom

=====

Result of the stability comparison: c is the least stable of them.

=====

## a
## ZnCuRh (PBE)

Data for a relaxed ZnCuRh crystal. Values from VASP.

Quantum ESPRESSO input file:
```
&SYSTEM
  ibrav = 0, nat = 3, ntyp = 3
/
ATOMIC_SPECIES
Zn 65.41 Zn.upf
Cu 63.55 Cu.upf
Rh 102.91 Rh.upf
CELL_PARAMETERS angstrom
0.000 2.250 6.368
1.430 0.000 6.368
1.430 2.250 0.000
ATOMIC_POSITIONS crystal
Zn 0.000 0.000 0.000
Cu 0.337 0.337 0.663
Rh 0.667 0.667 0.333
```

Output
Crystal system: orthorhombic
DOS at the Fermi energy: 0.993 states/eV/atom

=====

## b
## ZnCuRh (PBE)

Data for a relaxed ZnCuRh crystal. Values from VASP.

Quantum ESPRESSO input file:
```
&SYSTEM
  ibrav = 0, nat = 3, ntyp = 3
/
ATOMIC_SPECIES
Zn 65.41 Zn.upf
Cu 63.55 Cu.upf
Rh 102.91 Rh.upf
CELL_PARAMETERS angstrom
4.139 0.000 0.000
-2.069 3.584 0.000
0.000 0.000 2.737
ATOMIC_POSITIONS crystal
Zn 0.000 0.000 0.000
Cu 0.667 0.333 0.119
Rh 0.333 0.667 0.563
```

Output
Crystal system: trigonal
DOS at the Fermi energy: 0.985 states/eV/atom

=====

Result of the stability comparison: a is the least stable of them.

=====

## a
## ZnCuRh (PBE)

Data for a relaxed ZnCuRh crystal. Values from VASP.

Quantum ESPRESSO input file:
```
&SYSTEM
  ibrav = 0, nat = 3, ntyp = 3
/
ATOMIC_SPECIES
Zn 65.41 Zn.upf
Cu 63.55 Cu.upf
Rh 102.91 Rh.upf
CELL_PARAMETERS angstrom
4.243 0.000 0.000
0.000 2.780 0.000
-0.010 0.000 4.244
ATOMIC_POSITIONS crystal
Zn 0.000 0.000 0.000
Cu 0.500 0.000 0.500
Rh 0.500 0.500 0.000
```

Output
Crystal system: monoclinic
DOS at the Fermi energy: 0.868 states/eV/atom

=====

## b
## ZnCuRh (PBE)

Data for a relaxed ZnCuRh crystal. Values from VASP.

Quantum ESPRESSO input file:
```
&SYSTEM
  ibrav = 0, nat = 3, ntyp = 3
/
ATOMIC_SPECIES
Zn 65.41 Zn.upf
Cu 63.55 Cu.upf
Rh 102.91 Rh.upf
CELL_PARAMETERS angstrom
-1.512 1.512 4.378
1.512 -1.512 4.378
1.512 1.512 -4.378
ATOMIC_POSITIONS crystal
Zn 0.000 0.000 0.000
Cu 0.342 0.342 0.000
Rh 0.669 0.669 0.000
```

Output
Crystal system: tetragonal
DOS at the Fermi energy: 0.774 states/eV/atom

=====

## c
## ZnCuRh (PBE)

Data for a relaxed ZnCuRh crystal. Values from VASP.

Quantum ESPRESSO input file:
```
&SYSTEM
  ibrav = 0, nat = 6, ntyp = 3
/
ATOMIC_SPECIES
Zn 65.41 Zn.upf
Cu 63.55 Cu.upf
Rh 102.91 Rh.upf
CELL_PARAMETERS angstrom
3.720 0.000 0.000
1.857 4.273 0.000
0.007 1.824 5.092
ATOMIC_POSITIONS crystal
Zn 0.001 0.498 0.252
Zn 0.999 0.502 0.748
Cu 0.336 0.828 0.417
Cu 0.664 0.172 0.583
Rh 0.334 0.832 0.911
Rh 0.666 0.168 0.089
```

Output
Crystal system: triclinic
DOS at the Fermi energy: 0.712 states/eV/atom

=====

## d
## ZnCuRh (PBE)

Data for a relaxed ZnCuRh crystal. Values from VASP.

Quantum ESPRESSO input file:
```
&SYSTEM
  ibrav = 0, nat = 3, ntyp = 3
/
ATOMIC_SPECIES
Zn 65.41 Zn.upf
Cu 63.55 Cu.upf
Rh 102.91 Rh.upf
CELL_PARAMETERS angstrom
0.000 2.850 2.850
2.850 0.000 2.850
2.850 2.850 0.000
ATOMIC_POSITIONS crystal
Zn 0.000 0.000 0.000
Cu 0.250 0.250 0.250
Rh 0.750 0.750 0.750
```

Output
Crystal system: cubic
DOS at the Fermi energy: 0.429 states/eV/atom

=====

Result of the stability comparison: d is the least stable of them.

=====

## a
## Zn2CuRh2 (PBE)

Data for a relaxed Zn2CuRh2 crystal. Values from VASP.

Quantum ESPRESSO input file:
```
&SYSTEM
  ibrav = 0, nat = 5, ntyp = 3
/
ATOMIC_SPECIES
Zn 65.41 Zn.upf
Cu 63.55 Cu.upf
Rh 102.91 Rh.upf
CELL_PARAMETERS angstrom
4.222 -1.917 0.000
4.222 1.917 0.000
-4.122 0.000 4.248
ATOMIC_POSITIONS crystal
Zn 0.092 0.092 0.296
Zn 0.908 0.908 0.704
Cu 0.500 0.500 0.500
Rh 0.296 0.296 0.886
Rh 0.704 0.704 0.114
```

Output
Crystal system: monoclinic
DOS at the Fermi energy: 0.862 states/eV/atom

=====

## b
## Zn2CuRh2 (PBE)

Data for a relaxed Zn2CuRh2 crystal. Values from VASP.

Quantum ESPRESSO input file:
```
&SYSTEM
  ibrav = 0, nat = 10, ntyp = 3
/
ATOMIC_SPECIES
Zn 65.41 Zn.upf
Cu 63.55 Cu.upf
Rh 102.91 Rh.upf
CELL_PARAMETERS angstrom
6.699 0.000 0.000
0.000 6.699 0.000
0.000 0.000 3.186
ATOMIC_POSITIONS crystal
Zn 0.136 0.364 0.000
Zn 0.364 0.864 0.000
Zn 0.636 0.136 0.000
Zn 0.864 0.636 0.000
Cu 0.000 0.000 0.000
Cu 0.500 0.500 0.000
Rh 0.163 0.663 0.500
Rh 0.337 0.163 0.500
Rh 0.663 0.837 0.500
Rh 0.837 0.337 0.500
```

Output
Crystal system: tetragonal
DOS at the Fermi energy: 0.337 states/eV/atom

=====

## c
## Zn2CuRh2 (PBE)

Data for a relaxed Zn2CuRh2 crystal. Values from VASP.

Quantum ESPRESSO input file:
```
&SYSTEM
  ibrav = 0, nat = 10, ntyp = 3
/
ATOMIC_SPECIES
Zn 65.41 Zn.upf
Cu 63.55 Cu.upf
Rh 102.91 Rh.upf
CELL_PARAMETERS angstrom
6.774 0.000 0.000
0.000 6.774 0.000
0.000 0.000 3.219
ATOMIC_POSITIONS crystal
Zn 0.159 0.341 0.000
Zn 0.341 0.841 0.000
Zn 0.659 0.159 0.000
Zn 0.841 0.659 0.000
Cu 0.000 0.000 0.500
Cu 0.500 0.500 0.500
Rh 0.141 0.641 0.500
Rh 0.359 0.141 0.500
Rh 0.641 0.859 0.500
Rh 0.859 0.359 0.500
```

Output
Crystal system: tetragonal
DOS at the Fermi energy: 0.742 states/eV/atom

=====

Result of the stability comparison: c is the least stable of them.

=====

## a
## ZnCu3Rh (PBE)

Data for a relaxed ZnCu3Rh crystal. Values from VASP.

Quantum ESPRESSO input file:
```
&SYSTEM
  ibrav = 0, nat = 5, ntyp = 3
/
ATOMIC_SPECIES
Zn 65.41 Zn.upf
Cu 63.55 Cu.upf
Rh 102.91 Rh.upf
CELL_PARAMETERS angstrom
4.628 0.000 0.000
0.000 4.628 0.000
0.000 0.000 4.628
ATOMIC_POSITIONS crystal
Zn 0.000 0.000 0.000
Cu 0.000 0.500 0.500
Cu 0.500 0.000 0.500
Cu 0.500 0.500 0.000
Rh 0.500 0.500 0.500
```

Output
Crystal system: cubic
DOS at the Fermi energy: 1.243 states/eV/atom

=====

## b
## ZnCu3Rh (PBE)

Data for a relaxed ZnCu3Rh crystal. Values from VASP.

Quantum ESPRESSO input file:
```
&SYSTEM
  ibrav = 0, nat = 5, ntyp = 3
/
ATOMIC_SPECIES
Zn 65.41 Zn.upf
Cu 63.55 Cu.upf
Rh 102.91 Rh.upf
CELL_PARAMETERS angstrom
4.326 0.000 0.000
0.000 4.326 0.000
0.000 0.000 4.326
ATOMIC_POSITIONS crystal
Zn 0.000 0.000 0.000
Cu 0.000 0.000 0.500
Cu 0.000 0.500 0.000
Cu 0.500 0.000 0.000
Rh 0.500 0.500 0.500
```

Output
Crystal system: cubic
DOS at the Fermi energy: 0.636 states/eV/atom

=====

Result of the stability comparison: a is the least stable of them.

=====

## a
## ZnCu6Rh (PBE)

Data for a relaxed ZnCu6Rh crystal. Values from VASP.

Quantum ESPRESSO input file:
```
&SYSTEM
  ibrav = 0, nat = 8, ntyp = 3
/
ATOMIC_SPECIES
Zn 65.41 Zn.upf
Cu 63.55 Cu.upf
Rh 102.91 Rh.upf
CELL_PARAMETERS angstrom
5.229 0.000 0.000
-2.615 4.529 0.000
0.000 0.000 4.239
ATOMIC_POSITIONS crystal
Zn 0.000 0.000 0.000
Cu 0.002 0.501 0.000
Cu 0.169 0.338 0.500
Cu 0.169 0.831 0.500
Cu 0.499 0.501 0.000
Cu 0.499 0.998 0.000
Cu 0.662 0.831 0.500
Rh 0.667 0.333 0.500
```

Output
Crystal system: hexagonal
DOS at the Fermi energy: 0.298 states/eV/atom

=====

## b
## ZnCu6Rh (PBE)

Data for a relaxed ZnCu6Rh crystal. Values from VASP.

Quantum ESPRESSO input file:
```
&SYSTEM
  ibrav = 0, nat = 8, ntyp = 3
/
ATOMIC_SPECIES
Zn 65.41 Zn.upf
Cu 63.55 Cu.upf
Rh 102.91 Rh.upf
CELL_PARAMETERS angstrom
2.411 1.392 6.584
-2.411 1.392 6.584
0.000 -2.784 6.584
ATOMIC_POSITIONS crystal
Zn 0.000 0.000 0.000
Cu 0.062 0.062 0.562
Cu 0.062 0.562 0.062
Cu 0.438 0.938 0.938
Cu 0.562 0.062 0.062
Cu 0.938 0.438 0.938
Cu 0.938 0.938 0.438
Rh 0.500 0.500 0.500
```

Output
Crystal system: trigonal
DOS at the Fermi energy: 0.486 states/eV/atom

=====

Result of the stability comparison: b is the least stable of them.

=====

## a
## Zn3CuRh (PBE)

Data for a relaxed Zn3CuRh crystal. Values from VASP.

Quantum ESPRESSO input file:
```
&SYSTEM
  ibrav = 0, nat = 10, ntyp = 3
/
ATOMIC_SPECIES
Zn 65.41 Zn.upf
Cu 63.55 Cu.upf
Rh 102.91 Rh.upf
CELL_PARAMETERS angstrom
1.975 -8.911 0.000
1.975 8.911 0.000
0.000 0.000 3.920
ATOMIC_POSITIONS crystal
Zn 0.053 0.947 0.750
Zn 0.250 0.750 0.750
Zn 0.445 0.555 0.750
Zn 0.555 0.445 0.250
Zn 0.750 0.250 0.250
Zn 0.947 0.053 0.250
Cu 0.346 0.654 0.250
Cu 0.654 0.346 0.750
Rh 0.151 0.849 0.250
Rh 0.849 0.151 0.750
```

Output
Crystal system: orthorhombic
DOS at the Fermi energy: 0.193 states/eV/atom

=====

## b
## Zn3CuRh (PBE)

Data for a relaxed Zn3CuRh crystal. Values from VASP.

Quantum ESPRESSO input file:
```
&SYSTEM
  ibrav = 0, nat = 20, ntyp = 3
/
ATOMIC_SPECIES
Zn 65.41 Zn.upf
Cu 63.55 Cu.upf
Rh 102.91 Rh.upf
CELL_PARAMETERS angstrom
6.443 0.000 0.000
0.000 5.206 0.000
-2.182 0.000 8.338
ATOMIC_POSITIONS crystal
Zn 0.013 0.118 0.263
Zn 0.013 0.382 0.763
Zn 0.178 0.635 0.542
Zn 0.178 0.865 0.042
Zn 0.403 0.156 0.873
Zn 0.403 0.344 0.373
Zn 0.597 0.656 0.627
Zn 0.597 0.844 0.127
Zn 0.822 0.135 0.958
Zn 0.822 0.365 0.458
Zn 0.987 0.618 0.237
Zn 0.987 0.882 0.737
Cu 0.205 0.121 0.569
Cu 0.205 0.379 0.069
Cu 0.795 0.621 0.931
Cu 0.795 0.879 0.431
Rh 0.369 0.649 0.842
Rh 0.369 0.851 0.342
Rh 0.631 0.149 0.658
Rh 0.631 0.351 0.158
```

Output
Crystal system: monoclinic
DOS at the Fermi energy: 0.333 states/eV/atom

=====

Result of the stability comparison: b is the least stable of them.

=====

## a
## Zn8CuRh2 (PBE)

Data for a relaxed Zn8CuRh2 crystal. Values from VASP.

Quantum ESPRESSO input file:
```
&SYSTEM
  ibrav = 0, nat = 11, ntyp = 3
/
ATOMIC_SPECIES
Zn 65.41 Zn.upf
Cu 63.55 Cu.upf
Rh 102.91 Rh.upf
CELL_PARAMETERS angstrom
3.431 -6.608 0.000
3.431 6.608 0.000
-3.008 0.000 3.580
ATOMIC_POSITIONS crystal
Zn 0.103 0.382 0.733
Zn 0.189 0.811 0.000
Zn 0.382 0.103 0.733
Zn 0.457 0.457 0.217
Zn 0.543 0.543 0.783
Zn 0.618 0.897 0.267
Zn 0.811 0.189 0.000
Zn 0.897 0.618 0.267
Cu 0.000 0.000 0.000
Rh 0.314 0.686 0.500
Rh 0.686 0.314 0.500
```

Output
Crystal system: monoclinic
DOS at the Fermi energy: 0.381 states/eV/atom

=====

## b
## Zn8CuRh2 (PBE)

Data for a relaxed Zn8CuRh2 crystal. Values from VASP.

Quantum ESPRESSO input file:
```
&SYSTEM
  ibrav = 0, nat = 11, ntyp = 3
/
ATOMIC_SPECIES
Zn 65.41 Zn.upf
Cu 63.55 Cu.upf
Rh 102.91 Rh.upf
CELL_PARAMETERS angstrom
-2.075 3.131 6.125
2.075 -3.131 6.125
2.075 3.131 -6.125
ATOMIC_POSITIONS crystal
Zn 0.145 0.359 0.785
Zn 0.160 0.160 0.000
Zn 0.296 0.000 0.296
Zn 0.426 0.641 0.785
Zn 0.574 0.359 0.215
Zn 0.704 0.000 0.704
Zn 0.840 0.840 0.000
Zn 0.855 0.641 0.215
Cu 0.000 0.500 0.500
Rh 0.301 0.801 0.500
Rh 0.699 0.199 0.500
```

Output
Crystal system: orthorhombic
DOS at the Fermi energy: 0.274 states/eV/atom

=====

Result of the stability comparison: a is the least stable of them.

=====

## a
## ZrCuRh (PBE)

Data for a relaxed ZrCuRh crystal. Values from VASP.

Quantum ESPRESSO input file:
```
&SYSTEM
  ibrav = 0, nat = 3, ntyp = 3
/
ATOMIC_SPECIES
Zr 91.22 Zr.upf
Cu 63.55 Cu.upf
Rh 102.91 Rh.upf
CELL_PARAMETERS angstrom
0.000 3.058 3.058
3.058 0.000 3.058
3.058 3.058 0.000
ATOMIC_POSITIONS crystal
Zr 0.000 0.000 0.000
Cu 0.500 0.500 0.500
Rh 0.750 0.750 0.750
```

Output
Crystal system: cubic
DOS at the Fermi energy: 0.287 states/eV/atom

=====

## b
## ZrCuRh (PBE)

Data for a relaxed ZrCuRh crystal. Values from VASP.

Quantum ESPRESSO input file:
```
&SYSTEM
  ibrav = 0, nat = 3, ntyp = 3
/
ATOMIC_SPECIES
Zr 91.22 Zr.upf
Cu 63.55 Cu.upf
Rh 102.91 Rh.upf
CELL_PARAMETERS angstrom
2.923 0.000 0.000
-1.461 2.531 0.000
0.000 0.000 6.672
ATOMIC_POSITIONS crystal
Zr 0.000 0.000 0.000
Cu 0.667 0.333 0.347
Rh 0.333 0.667 0.660
```

Output
Crystal system: trigonal
DOS at the Fermi energy: 1.005 states/eV/atom

=====

Result of the stability comparison: b is the least stable of them.

=====

## a
## ZrCu2Rh2 (PBE)

Data for a relaxed ZrCu2Rh2 crystal. Values from VASP.

Quantum ESPRESSO input file:
```
&SYSTEM
  ibrav = 0, nat = 10, ntyp = 3
/
ATOMIC_SPECIES
Zr 91.22 Zr.upf
Cu 63.55 Cu.upf
Rh 102.91 Rh.upf
CELL_PARAMETERS angstrom
7.032 0.000 0.000
0.000 7.032 0.000
0.000 0.000 3.074
ATOMIC_POSITIONS crystal
Zr 0.000 0.000 0.000
Zr 0.500 0.500 0.000
Cu 0.159 0.341 0.500
Cu 0.341 0.841 0.500
Cu 0.659 0.159 0.500
Cu 0.841 0.659 0.500
Rh 0.138 0.638 0.000
Rh 0.362 0.138 0.000
Rh 0.638 0.862 0.000
Rh 0.862 0.362 0.000
```

Output
Crystal system: tetragonal
DOS at the Fermi energy: 1.111 states/eV/atom

=====

## b
## ZrCu2Rh2 (PBE)

Data for a relaxed ZrCu2Rh2 crystal. Values from VASP.

Quantum ESPRESSO input file:
```
&SYSTEM
  ibrav = 0, nat = 5, ntyp = 3
/
ATOMIC_SPECIES
Zr 91.22 Zr.upf
Cu 63.55 Cu.upf
Rh 102.91 Rh.upf
CELL_PARAMETERS angstrom
-1.708 1.708 6.743
1.708 -1.708 6.743
1.708 1.708 -6.743
ATOMIC_POSITIONS crystal
Zr 0.000 0.000 0.000
Cu 0.250 0.750 0.500
Cu 0.750 0.250 0.500
Rh 0.396 0.396 0.000
Rh 0.604 0.604 0.000
```

Output
Crystal system: tetragonal
DOS at the Fermi energy: 0.337 states/eV/atom

=====

Result of the stability comparison: a is the least stable of them.